(1)
Computed, not measured: NpFeAgO6 after structural relaxation at the PBE+U level of DFT.

Results
Crystal system: tetragonal
Electronic total energy: -7.286 eV/atom

Unit cell a=4.9124 b=4.9124 c=9.6477 alpha=90.00 beta=90.00 gamma=90.00
Fractional positions:
Np1 0.0000 0.0000 0.0000
Np2 0.5000 0.5000 0.5000
Fe1 0.0000 0.0000 0.3358
Fe2 0.5000 0.5000 0.8358
Ag1 0.0000 0.0000 0.6681
Ag2 0.5000 0.5000 0.1681
O1 0.1800 0.1800 0.1680
O2 0.2068 0.2068 0.4849
O3 0.2091 0.2091 0.8528
O4 0.2909 0.7091 0.3528
O5 0.2932 0.7068 0.9849
O6 0.3200 0.6800 0.6680
O7 0.6800 0.3200 0.6680
O8 0.7068 0.2932 0.9849
O9 0.7091 0.2909 0.3528
O10 0.7909 0.7909 0.8528
O11 0.7932 0.7932 0.4849
O12 0.8200 0.8200 0.1680



(2)
Computed, not measured: NpFe2AgO6 after structural relaxation at the PBE+U level of DFT.

Results
Crystal system: monoclinic
Electronic total energy: -7.096 eV/atom

Unit cell a=6.0375 b=5.3605 c=10.2010 alpha=90.00 beta=125.15 gamma=90.00
Fractional positions:
Np1 0.0000 0.0000 0.0000
Np2 0.0000 0.5000 0.5000
Fe1 0.3707 0.0163 0.8120
Fe2 0.3707 0.4837 0.3120
Fe3 0.6293 0.5163 0.6880
Fe4 0.6293 0.9837 0.1880
Ag1 0.5000 0.0000 0.5000
Ag2 0.5000 0.5000 0.0000
O1 0.0660 0.2244 0.6396
O2 0.0660 0.2756 0.1396
O3 0.3095 0.1466 0.9774
O4 0.3095 0.3534 0.4774
O5 0.3199 0.6944 0.6909
O6 0.3199 0.8056 0.1909
O7 0.6801 0.1944 0.8091
O8 0.6801 0.3056 0.3091
O9 0.6905 0.6466 0.5226
O10 0.6905 0.8534 0.0226
O11 0.9340 0.7244 0.8604
O12 0.9340 0.7756 0.3604



Number 1: total magnetic moment 4.0 μB per formula unit. Number 2: total magnetic moment 3.9 μB per formula unit.